VASP calculation (PBE-GGA) on a relaxed VNi4Ge2 crystal.

Values from the calculation:
**Symmetry**: No. 166
**Energy of formation**: -1.33 eV/f.u.

abc: 6.787 6.787 6.787
angles: 34.60 34.60 34.60
Atoms (fractional coordinates):
V 0.000 0.000 0.000
Ni 0.129 0.129 0.129
Ni 0.391 0.391 0.391
Ni 0.609 0.609 0.609
Ni 0.871 0.871 0.871
Ge 0.255 0.255 0.255
Ge 0.745 0.745 0.745